{"formula": "MnBeAs2", "functional": "PBE", "state": "relaxed", "lattice_angstrom": [[4.316, 0.008, 0.036], [-0.992, 4.201, 0.036], [0.426, 0.540, 3.340]], "species": ["Mn", "As", "As", "Be"], "fractional_positions": [[0.000, 0.500, 0.500], [0.500, 0.500, 0.000], [0.000, 0.000, 0.000], [0.500, 0.000, 0.500]], "n_ef_per_ev_atom": 0.538, "e_form_ev_per_atom": 0.272, "energy_ev_per_atom": -5.276, "polymorph_energy_mev_per_atom": 306}